! K2ZnHg (PBE, relaxed); values from VASP
! **Uncorrected energy**: -1.02 eV per atom
&SYSTEM
  ibrav = 0, nat = 8, ntyp = 3
/
ATOMIC_SPECIES
K 39.10 K.upf
Hg 200.59 Hg.upf
Zn 65.41 Zn.upf
CELL_PARAMETERS angstrom
-1.199 -5.890 1.713
-0.698 -1.768 -6.568
6.655 -1.003 1.211
ATOMIC_POSITIONS crystal
K 0.750 0.675 0.028
K 0.250 0.972 0.325
Hg 0.750 0.229 0.229
K 0.750 0.028 0.675
Zn 0.500 0.500 0.500
Zn 0.000 0.500 0.500
Hg 0.250 0.771 0.771
K 0.250 0.325 0.972

=====

! K4ZnHg3 (PBE, relaxed); values from VASP
! **Uncorrected energy**: -0.99 eV per atom
&SYSTEM
  ibrav = 0, nat = 8, ntyp = 3
/
ATOMIC_SPECIES
K 39.10 K.upf
Zn 65.41 Zn.upf
Hg 200.59 Hg.upf
CELL_PARAMETERS angstrom
-4.697 -0.186 -1.666
-0.996 -3.732 3.223
-3.423 8.434 8.708
ATOMIC_POSITIONS crystal
K 0.000 0.500 0.856
K 0.500 0.500 0.351
Zn 0.500 0.500 0.050
Hg 0.000 0.000 0.432
Hg 0.000 0.500 0.568
K 0.500 0.000 0.650
K 0.000 0.000 0.145
Hg 0.500 0.000 0.949